Compound: TiSe3S
Source: Alexandria via LeMat-Bulk
Functional: PBE
Structure: relaxed

a = 4.898 Å, b = 4.898 Å, c = 4.898 Å
α = 90.00°, β = 90.00°, γ = 90.00°
Last column: magnetic moment on the atom in μB.
Atoms (fractional coordinates):
Ti1 0.000 0.000 0.000  0.09
Se1 0.000 0.000 0.500  0.02
Se2 0.500 0.000 0.000  -0.01
Se3 0.000 0.500 0.000  -0.01
S1 0.500 0.500 0.500  0.30

Results
formation energy (no corrections): 0.6 eV per formula unit
space-group type: Pm-3m (221)
total DFT energy (no corrections): -4.3731 eV/atom